[1]
Below is a relaxed structure of TbNi5Ge3, with properties calculated at the PBE level.

Cell: 3.736 12.102 11.747 Å, 90.00 90.00 90.00°
Space group Cmcm (No. 63)
Symmetry-distinct sites (fractional):
1 Tb 0.000 0.157 0.250 [4 per cell]
2 Ni 0.000 0.000 0.000 [4 per cell]
3 Ni 0.000 0.194 0.566 [8 per cell]
4 Ni 0.000 0.448 0.144 [8 per cell]
5 Ge 0.000 0.115 0.750 [4 per cell]
6 Ge 0.000 0.381 0.546 [8 per cell]

Calculated total energy   -5.746 eV per atom
N(E_F)   0.6416 states/eV/atom



[2]
Below is a relaxed structure of TbNi4Ge12, with properties calculated at the PBE level.

Cell: 8.400 8.400 8.400 Å, 90.00 90.00 90.00°
Space group Im-3 (No. 204)
Symmetry-distinct sites (fractional):
1 Tb 0.000 0.000 0.000 [2 per cell]
2 Ni 0.250 0.250 0.250 [8 per cell]
3 Ge 0.000 0.161 0.346 [24 per cell]

Calculated total energy   -5.085 eV per atom
N(E_F)   0.5173 states/eV/atom



[3]
Below is a relaxed structure of TbNi4Ge4, with properties calculated at the PBE level.

Cell: 8.033 8.033 4.587 Å, 90.00 90.00 90.00°
Space group I4/m (No. 87)
Symmetry-distinct sites (fractional):
1 Tb 0.000 0.000 0.000 [2 per cell]
2 Ni 0.170 0.314 0.500 [8 per cell]
3 Ge 0.120 0.621 0.500 [8 per cell]

Calculated total energy   -5.437 eV per atom
N(E_F)   0.5525 states/eV/atom



[4]
Below is a relaxed structure of Tb2NiGe, with properties calculated at the PBE level.

Cell: 5.830 4.152 7.789 Å, 90.00 110.40 90.00°
Space group P2_1/m (No. 11)
Symmetry-distinct sites (fractional):
1 Tb 0.221 0.250 0.445 [2 per cell]
2 Tb 0.224 0.250 0.911 [2 per cell]
3 Ni 0.371 0.750 0.716 [2 per cell]
4 Ge 0.336 0.750 0.208 [2 per cell]

Calculated total energy   -5.584 eV per atom
N(E_F)   0.3608 states/eV/atom



[5]
Below is a relaxed structure of Tb3Ni6Ge2, with properties calculated at the PBE level.

Cell: 8.882 8.882 8.882 Å, 90.00 90.00 90.00°
Space group Im-3m (No. 229)
Symmetry-distinct sites (fractional):
1 Tb 0.000 0.000 0.287 [12 per cell]
2 Ni 0.000 0.335 0.335 [24 per cell]
3 Ge 0.250 0.250 0.250 [8 per cell]

Calculated total energy   -5.833 eV per atom
N(E_F)   0.6248 states/eV/atom



[6]
Below is a relaxed structure of TbNi9Ge2, with properties calculated at the PBE level.

Cell: 4.8455 4.8455 23.1571 Å, 90.00 90.00 120.00°
Space group R-3m (No. 166, hexagonal axes)
Symmetry-distinct sites (fractional):
1 Tb 0.0000 0.0000 0.0000 [3 per cell]
2 Ni 0.0000 0.0000 0.3341 [6 per cell]
3 Ni 0.0000 0.0000 0.5000 [3 per cell]
4 Ni 0.0058 0.5029 0.9130 [18 per cell]
5 Ge 0.0000 0.0000 0.1383 [6 per cell]

Calculated total energy   -5.662 eV per atom
N(E_F)   1.0239 states/eV/atom



[7]
Below is a relaxed structure of TbNi4Ge2, with properties calculated at the PBE level.

Cell: 4.0347 4.0347 21.9744 Å, 90.00 90.00 120.00°
Space group R-3m (No. 166, hexagonal axes)
Symmetry-distinct sites (fractional):
1 Tb 0.0000 0.0000 0.0000 [3 per cell]
2 Ni 0.0000 0.0000 0.1416 [6 per cell]
3 Ni 0.0000 0.0000 0.4397 [6 per cell]
4 Ge 0.0000 0.0000 0.2489 [6 per cell]

Calculated total energy   -5.766 eV per atom
N(E_F)   0.6332 states/eV/atom



[8]
Below is a relaxed structure of Tb2Ni15Ge2, with properties calculated at the PBE level.

Cell: 8.3516 8.3516 12.2561 Å, 90.00 90.00 120.00°
Space group R-3m (No. 166, hexagonal axes)
Symmetry-distinct sites (fractional):
1 Tb 0.0000 0.0000 0.1502 [6 per cell]
2 Ni 0.0000 0.3015 0.5000 [18 per cell]
3 Ni 0.0000 0.5000 0.0000 [9 per cell]
4 Ni 0.0010 0.5005 0.3442 [18 per cell]
5 Ge 0.0000 0.0000 0.3949 [6 per cell]

Calculated total energy   -5.772 eV per atom
N(E_F)   1.3052 states/eV/atom



[9]
Below is a relaxed structure of TbNi2Ge3, with properties calculated at the PBE level.

Cell: 9.494 7.577 5.519 Å, 90.00 90.00 90.00°
Space group Cmcm (No. 63)
Symmetry-distinct sites (fractional):
1 Tb 0.000 0.160 0.250 [4 per cell]
2 Ni 0.214 0.500 0.000 [8 per cell]
3 Ge 0.000 0.467 0.750 [4 per cell]
4 Ge 0.166 0.203 0.750 [8 per cell]

Calculated total energy   -5.400 eV per atom
N(E_F)   0.6559 states/eV/atom



[10]
Below is a relaxed structure of Tb2Ni2Ge3, with properties calculated at the PBE level.

Cell: 4.159 17.837 6.746 Å, 90.00 90.00 90.00°
Space group Cmcm (No. 63)
Symmetry-distinct sites (fractional):
1 Tb 0.000 0.051 0.250 [4 per cell]
2 Tb 0.000 0.159 0.750 [4 per cell]
3 Ni 0.000 0.302 0.554 [8 per cell]
4 Ge 0.000 0.222 0.250 [4 per cell]
5 Ge 0.000 0.433 0.060 [8 per cell]

Calculated total energy   -5.686 eV per atom
N(E_F)   0.4966 states/eV/atom
Energy relative to the lowest polymorph listed for this composition   0.0 meV/atom



[11]
Below is a relaxed structure of TbThNi2Ge2, with properties calculated at the PBE level.

Cell: 4.1650 4.1650 7.8094 Å, 90.00 90.00 120.00°
Space group P-3m1 (No. 164)
Symmetry-distinct sites (fractional):
1 Tb 0.0000 0.0000 0.0000 [1 per cell]
2 Th 0.0000 0.0000 0.5000 [1 per cell]
3 Ni 0.3333 0.6667 0.2431 [2 per cell]
4 Ge 0.3333 0.6667 0.7575 [2 per cell]

Calculated total energy   -6.244 eV per atom
N(E_F)   1.1833 states/eV/atom



[12]
Below is a relaxed structure of TbTmNiGe, with properties calculated at the PBE level.

Cell: 6.932 6.932 6.932 Å, 90.00 90.00 90.00°
Space group F-43m (No. 216)
Symmetry-distinct sites (fractional):
1 Tb 0.000 0.000 0.000 [4 per cell]
2 Tm 0.000 0.000 0.500 [4 per cell]
3 Ni 0.250 0.250 0.250 [4 per cell]
4 Ge 0.250 0.250 0.750 [4 per cell]

Calculated total energy   -5.424 eV per atom
N(E_F)   0.2942 states/eV/atom



[13]
Below is a relaxed structure of Tb2ZnNi3Ge4, with properties calculated at the PBE level.

Cell: 4.094 4.094 9.962 Å, 90.00 90.00 90.00°
Space group P-4m2 (No. 115)
Symmetry-distinct sites (fractional):
1 Tb 0.000 0.500 0.244 [2 per cell]
2 Zn 0.000 0.000 0.500 [1 per cell]
3 Ni 0.000 0.500 0.878 [2 per cell]
4 Ni 0.500 0.500 0.500 [1 per cell]
5 Ge 0.000 0.000 0.000 [1 per cell]
6 Ge 0.000 0.500 0.644 [2 per cell]
7 Ge 0.500 0.500 0.000 [1 per cell]

Calculated total energy   -5.278 eV per atom
N(E_F)   0.4481 states/eV/atom



[14]
Below is a relaxed structure of Tb2Zn2Ni5Ge, with properties calculated at the PBE level.

Cell: 9.382 9.382 3.467 Å, 90.00 90.00 90.00°
Space group P4/mbm (No. 127)
Symmetry-distinct sites (fractional):
1 Tb 0.178 0.322 0.000 [4 per cell]
2 Zn 0.120 0.620 0.000 [4 per cell]
3 Ni 0.000 0.500 0.500 [2 per cell]
4 Ni 0.055 0.801 0.500 [8 per cell]
5 Ge 0.000 0.000 0.000 [2 per cell]

Calculated total energy   -4.819 eV per atom
N(E_F)   0.5666 states/eV/atom



[15]
Below is a relaxed structure of Tb3Zn2Ni9Ge, with properties calculated at the PBE level.

Cell: 5.9762 5.9762 8.4674 Å, 90.00 90.00 120.00°
Space group P-3m1 (No. 164)
Symmetry-distinct sites (fractional):
1 Tb 0.0000 0.0000 0.0000 [1 per cell]
2 Tb 0.3333 0.6667 0.7107 [2 per cell]
3 Zn 0.3333 0.6667 0.1866 [2 per cell]
4 Ni 0.0000 0.5000 0.0000 [3 per cell]
5 Ni 0.1333 0.2666 0.2818 [6 per cell]
6 Ge 0.0000 0.0000 0.5000 [1 per cell]

Calculated total energy   -4.921 eV per atom
N(E_F)   0.6483 states/eV/atom



[16]
Below is a relaxed structure of TbZn2Ni4Ge, with properties calculated at the PBE level.

Cell: 4.0901 4.0901 24.3135 Å, 90.00 90.00 120.00°
Space group R-3m (No. 166, hexagonal axes)
Symmetry-distinct sites (fractional):
1 Tb 0.0000 0.0000 0.0000 [3 per cell]
2 Zn 0.0000 0.0000 0.2455 [6 per cell]
3 Ni 0.0000 0.0000 0.1330 [6 per cell]
4 Ni 0.0000 0.0000 0.4047 [6 per cell]
5 Ge 0.0000 0.0000 0.5000 [3 per cell]

Calculated total energy   -4.662 eV per atom
N(E_F)   0.7394 states/eV/atom



[17]
Below is a relaxed structure of TbZnNi5Ge2, with properties calculated at the PBE level.

Cell: 3.977 3.977 8.492 Å, 90.00 90.00 90.00°
Space group P4/mmm (No. 123)
Symmetry-distinct sites (fractional):
1 Tb 0.000 0.000 0.000 [1 per cell]
2 Zn 0.000 0.000 0.500 [1 per cell]
3 Ni 0.000 0.500 0.224 [4 per cell]
4 Ni 0.500 0.500 0.000 [1 per cell]
5 Ge 0.500 0.500 0.359 [2 per cell]

Calculated total energy   -5.010 eV per atom
N(E_F)   0.4348 states/eV/atom



[18]
Below is a relaxed structure of Tb2ZnNi4Ge3, with properties calculated at the PBE level.

Cell: 4.067 4.067 9.773 Å, 90.00 90.00 90.00°
Space group P-4m2 (No. 115)
Symmetry-distinct sites (fractional):
1 Tb 0.000 0.500 0.249 [2 per cell]
2 Zn 0.000 0.000 0.500 [1 per cell]
3 Ni 0.000 0.000 0.000 [1 per cell]
4 Ni 0.000 0.500 0.633 [2 per cell]
5 Ni 0.500 0.500 0.000 [1 per cell]
6 Ge 0.000 0.500 0.871 [2 per cell]
7 Ge 0.500 0.500 0.500 [1 per cell]

Calculated total energy   -5.394 eV per atom
N(E_F)   0.7037 states/eV/atom



[19]
Below is a relaxed structure of TcNiGe, with properties calculated at the PBE level.

Cell: 2.976 2.976 8.963 Å, 90.00 90.00 90.00°
Space group I4mm (No. 107)
Symmetry-distinct sites (fractional):
1 Tc 0.000 0.000 0.000 [2 per cell]
2 Ni 0.000 0.000 0.684 [2 per cell]
3 Ge 0.000 0.000 0.327 [2 per cell]

Calculated total energy   -6.883 eV per atom
N(E_F)   1.0158 states/eV/atom
Energy relative to the lowest polymorph listed for this composition   74.4 meV/atom



[20]
Below is a relaxed structure of Tc5NiGe6, with properties calculated at the PBE level.

Cell: 5.068 8.823 8.101 Å, 90.00 101.77 90.00°
Space group C2/m (No. 12)
Symmetry-distinct sites (fractional):
1 Tc 0.000 0.000 0.000 [2 per cell]
2 Tc 0.000 0.167 0.500 [4 per cell]
3 Tc 0.000 0.339 0.000 [4 per cell]
4 Ni 0.000 0.500 0.500 [2 per cell]
5 Ge 0.248 0.168 0.251 [8 per cell]
6 Ge 0.249 0.000 0.746 [4 per cell]

Calculated total energy   -7.084 eV per atom
N(E_F)   1.0877 states/eV/atom